(1)
# Li2CoB

A geometry-optimized Li2CoB structure (GGA-PBE, Alexandria).

The structure in POSCAR format:
```
Li2CoB
1.0
-3.227 3.227 2.004
3.227 -3.227 2.004
3.227 3.227 -2.004
Li Co B
4 2 2
direct
0.079 0.625 0.954
0.375 0.329 0.454
0.671 0.125 0.046
0.875 0.921 0.546
0.250 0.750 0.500
0.500 0.500 0.000
0.000 0.000 0.000
0.750 0.250 0.500
```

ΔE_f: 0.432 eV/atom
Total energy: -3.97 eV per atom
Symmetry: I-42d



(2)
# Li2Co2B

A geometry-optimized Li2Co2B structure (GGA-PBE, Alexandria).

The structure in POSCAR format:
```
Li2Co2B
1.0
5.134 0.000 0.000
0.000 5.134 0.000
0.000 0.000 4.258
Li Co B
4 4 2
direct
0.173 0.327 0.000
0.327 0.827 0.000
0.673 0.173 0.000
0.827 0.673 0.000
0.155 0.655 0.500
0.345 0.155 0.500
0.655 0.845 0.500
0.845 0.345 0.500
0.000 0.000 0.500
0.500 0.500 0.500
```

ΔE_f: -0.028 eV/atom
Total energy: -4.97 eV per atom
Symmetry: P4/mbm



(3)
# LiCo2B

A geometry-optimized LiCo2B structure (GGA-PBE, Alexandria).

The structure in POSCAR format:
```
LiCo2B
1.0
2.525 0.000 0.000
-1.263 2.187 0.000
0.000 0.000 7.147
Li Co B
1 2 1
direct
0.000 0.000 0.000
0.667 0.333 0.303
0.667 0.333 0.697
0.000 0.000 0.500
```

ΔE_f: 0.030 eV/atom
Total energy: -5.67 eV per atom
Symmetry: P-6m2



(4)
# Li2CoB10

A geometry-optimized Li2CoB10 structure (GGA-PBE, Alexandria).

The structure in POSCAR format:
```
Li2CoB10
1.0
5.515 0.000 0.000
0.000 11.051 0.000
0.000 0.000 4.187
Li Co B
4 2 20
direct
0.233 0.123 0.000
0.267 0.623 0.000
0.733 0.377 0.000
0.767 0.877 0.000
0.000 0.500 0.500
0.500 0.000 0.500
0.021 0.316 0.500
0.118 0.954 0.500
0.174 0.798 0.500
0.199 0.384 0.195
0.199 0.384 0.805
0.301 0.884 0.195
0.301 0.884 0.805
0.326 0.298 0.500
0.382 0.454 0.500
0.479 0.816 0.500
0.521 0.184 0.500
0.618 0.546 0.500
0.674 0.702 0.500
0.699 0.116 0.195
0.699 0.116 0.805
0.801 0.616 0.195
0.801 0.616 0.805
0.826 0.202 0.500
0.882 0.046 0.500
0.979 0.684 0.500
```

ΔE_f: 0.051 eV/atom
Total energy: -5.93 eV per atom
Symmetry: Pbam



(5)
# LiCo2B

A geometry-optimized LiCo2B structure (GGA-PBE, Alexandria).

The structure in POSCAR format:
```
LiCo2B
1.0
2.479 0.000 0.000
0.000 2.479 0.000
0.000 0.000 6.469
Li Co B
1 2 1
direct
0.000 0.000 0.000
0.500 0.500 0.316
0.500 0.500 0.684
0.000 0.000 0.500
```

ΔE_f: 0.013 eV/atom
Total energy: -5.69 eV per atom
Symmetry: P4/mmm



(6)
# LiCoB2

A geometry-optimized LiCoB2 structure (GGA-PBE, Alexandria).

The structure in POSCAR format:
```
LiCoB2
1.0
1.687 0.974 4.308
-1.687 0.974 4.308
0.000 -1.948 4.308
Li Co B
1 1 2
direct
0.000 0.000 0.000
0.500 0.500 0.500
0.178 0.178 0.178
0.822 0.822 0.822
```

ΔE_f: -0.018 eV/atom
Total energy: -5.61 eV per atom
Symmetry: R-3m



(7)
# LiCo2B6

A geometry-optimized LiCo2B6 structure (GGA-PBE, Alexandria).

The structure in POSCAR format:
```
LiCo2B6
1.0
-1.530 2.874 4.262
1.530 -2.874 4.262
1.530 2.874 -4.262
Li Co B
1 2 6
direct
0.000 0.000 0.000
0.350 0.850 0.500
0.650 0.150 0.500
0.063 0.307 0.755
0.347 0.500 0.847
0.448 0.693 0.755
0.552 0.307 0.245
0.653 0.500 0.153
0.937 0.693 0.245
```

ΔE_f: -0.176 eV/atom
Total energy: -6.42 eV per atom
Symmetry: Immm



(8)
# LiCoB2

A geometry-optimized LiCoB2 structure (GGA-PBE, Alexandria).

The structure in POSCAR format:
```
LiCoB2
1.0
0.000 2.462 2.462
2.462 0.000 2.462
2.462 2.462 0.000
Li Co B
1 1 2
direct
0.000 0.000 0.000
0.500 0.500 0.500
0.250 0.250 0.250
0.750 0.750 0.750
```

ΔE_f: 0.177 eV/atom
Total energy: -5.42 eV per atom
Symmetry: Fm-3m



(9)
# LiCo2B2

A geometry-optimized LiCo2B2 structure (GGA-PBE, Alexandria).

The structure in POSCAR format:
```
LiCo2B2
1.0
-1.704 1.704 4.003
1.704 -1.704 4.003
1.704 1.704 -4.003
Li Co B
1 2 2
direct
0.000 0.000 0.000
0.250 0.750 0.500
0.750 0.250 0.500
0.387 0.387 0.000
0.613 0.613 0.000
```

ΔE_f: -0.180 eV/atom
Total energy: -6.08 eV per atom
Symmetry: I4/mmm



(10)
# LiCo3B

A geometry-optimized LiCo3B structure (GGA-PBE, Alexandria).

The structure in POSCAR format:
```
LiCo3B
1.0
3.746 0.000 0.000
0.000 3.746 0.000
0.000 0.000 3.746
Li Co B
1 3 1
direct
0.000 0.000 0.000
0.000 0.000 0.500
0.000 0.500 0.000
0.500 0.000 0.000
0.500 0.500 0.500
```

ΔE_f: 1.497 eV/atom
Total energy: -4.48 eV per atom
Symmetry: Pm-3m



(11)
# LiCo2B

A geometry-optimized LiCo2B structure (GGA-PBE, Alexandria).

The structure in POSCAR format:
```
LiCo2B
1.0
-1.255 1.826 3.966
1.255 -1.826 3.966
1.255 1.826 -3.966
Li Co B
1 2 1
direct
0.000 0.000 0.000
0.443 0.443 0.000
0.711 0.211 0.500
0.242 0.742 0.500
```

ΔE_f: 0.121 eV/atom
Total energy: -5.58 eV per atom
Symmetry: Imm2



(12)
# LiCo2B

A geometry-optimized LiCo2B structure (GGA-PBE, Alexandria).

The structure in POSCAR format:
```
LiCo2B
1.0
-2.181 2.181 6.528
2.181 -2.181 6.528
2.181 2.181 -6.528
Li Co B
2 4 2
direct
0.375 0.625 0.750
0.625 0.375 0.250
0.000 0.000 0.000
0.000 0.000 0.500
0.000 0.500 0.000
0.500 0.000 0.500
0.125 0.875 0.250
0.875 0.125 0.750
```

ΔE_f: 0.686 eV/atom
Total energy: -5.01 eV per atom
Symmetry: I4_1/amd